Compound: CuGeS
Source: Alexandria via LeMat-Bulk
Functional: PBE
Structure: optimized geometry

abc: 6.0343 6.0343 5.5521
angles: 109.52 109.52 35.98
Atoms (fractional coordinates):
Cu (0.1265, 0.1265, 0.0575)
Cu (0.8735, 0.8735, 0.9425)
Ge (0.3827, 0.3827, 0.6488)
Ge (0.6173, 0.6173, 0.3512)
S (0.3889, 0.3889, 0.1984)
S (0.6111, 0.6111, 0.8016)

Calculated values
Space-group type: No. 12
ΔE_f (raw): -0.05 eV/atom

Compound: Hg5Pb4
Source: Alexandria via LeMat-Bulk
Functional: PBE
Structure: optimized geometry

abc: 7.7882 7.7882 7.7882
angles: 97.59 97.59 137.38
Atoms (fractional coordinates):
Hg (0.0000, 0.0000, 0.0000)
Hg (0.1481, 0.5527, 0.7008)
Hg (0.4473, 0.1481, 0.5954)
Hg (0.5527, 0.8519, 0.4046)
Hg (0.8519, 0.4473, 0.2992)
Pb (0.1554, 0.2495, 0.4049)
Pb (0.2495, 0.8446, 0.0941)
Pb (0.7505, 0.1554, 0.9059)
Pb (0.8446, 0.7505, 0.5951)

Calculated values
E_form: 0.10 eV/atom
Space-group type: No. 87

Compound: Li2Sm2NpN4
Source: Alexandria via LeMat-Bulk
Functional: PBE
Structure: optimized geometry

abc: 6.3795 6.3795 5.9552
angles: 108.80 108.80 30.67
Atoms (fractional coordinates):
Li (0.1859, 0.1859, 0.0043)
Li (0.8141, 0.8141, 0.9957)
Sm (0.3599, 0.3599, 0.4330)
Sm (0.6401, 0.6401, 0.5670)
Np (0.5000, 0.5000, 0.0000)
N (0.0285, 0.0285, 0.7627)
N (0.2927, 0.2927, 0.7786)
N (0.7073, 0.7073, 0.2214)
N (0.9715, 0.9715, 0.2373)

Calculated values
Space-group type: No. 12
ΔE_f (raw): -0.91 eV/atom